RbTcAg2Te: relaxed, PBE.

The structure in POSCAR format:
```
RbTcAg2Te
1.0
5.517 0.000 0.000
0.000 5.133 0.000
0.000 0.000 5.517
Rb Te Tc Ag
1 1 1 2
Cartesian
2.759 2.566 2.759
0.000 0.000 0.000
0.000 2.566 0.000
0.000 0.000 2.759
2.759 0.000 0.000
```

Output
Magnetization (μB/atom): 0.441
ΔE_f (raw) (eV per atom): 0.72
Crystal system: tetragonal
Total DFT energy (no corrections) (eV/atom): -3.32